No. 1
In2IrPd | PBE | relaxed

The value obtained for the mass density is 12.855 g/cm3. The calculation puts the total energy at -4.914 eV per atom.

The space group is Cmcm (No. 63) and the conventional cell measures 3.3052, 10.6229 and 7.7745 Å, with angles of 90.00, 90.00 and 90.00 degrees. The inequivalent atoms are In at (0.0000, 0.1251, 0.0420), Ir at (0.0000, 0.4725, 0.2500) and Pd at (0.0000, 0.2476, 0.7500).

No. 2
Pr3Ge13Ir4 | PBE | relaxed

The calculation puts the energy above the most stable polymorph in this dataset at 14.09 eV/f.u. The value obtained for the mass density is 7.467 g/cm3.

The space group is Pm-3n (No. 223) and the conventional cell measures 9.8305, 9.8305 and 9.8305 Å, with angles of 90.00, 90.00 and 90.00 degrees. The inequivalent atoms are Pr at (0.0000, 0.2500, 0.5000), Ge at (0.0000, 0.0000, 0.0000), Ge at (0.0000, 0.1451, 0.2386) and Ir at (0.2500, 0.2500, 0.2500).

No. 3
NaYNb | PBE | relaxed

The calculation puts the energy above the most stable polymorph in this dataset at 0.39 eV/f.u. The value obtained for the mass density is 3.500 g/cm3.

The space group is F-43m (No. 216) and the conventional cell measures 7.2979, 7.2979 and 7.2979 Å, with angles of 90.00, 90.00 and 90.00 degrees. The inequivalent atoms are Na at (0.0000, 0.0000, 0.0000), Y at (0.2500, 0.2500, 0.2500) and Nb at (0.0000, 0.0000, 0.5000).

No. 4
KScIrSe3 | PBE | relaxed

The calculation puts the energy above the most stable polymorph in this dataset at 0.18 eV/f.u. The value obtained for the mass density is 5.637 g/cm3.

The space group is Cmcm (No. 63) and the conventional cell measures 3.8802, 15.7911 and 9.8687 Å, with angles of 90.00, 90.00 and 90.00 degrees. The inequivalent atoms are K at (0.0000, 0.2411, 0.2500), Sc at (0.0000, 0.0000, 0.0000), Ir at (0.0000, 0.4924, 0.7500), Se at (0.0000, 0.0877, 0.7500) and Se at (0.0000, 0.3859, 0.5689).

No. 5
GaSiNi4Ir2 | PBE | relaxed

The value obtained for the mass density is 12.023 g/cm3. The calculation puts the total energy at -6.340 eV per atom.

The space group is P-4m2 (No. 115) and the conventional cell measures 4.1018, 4.1018 and 5.8862 Å, with angles of 90.00, 90.00 and 90.00 degrees. The inequivalent atoms are Ga at (0.0000, 0.0000, 0.0000), Si at (0.5000, 0.5000, 0.5000), Ni at (0.0000, 0.0000, 0.5000), Ni at (0.0000, 0.5000, 0.7422), Ni at (0.5000, 0.5000, 0.0000) and Ir at (0.0000, 0.5000, 0.2663).

No. 6
NdPu2N4 | PBE | relaxed

The value obtained for the mass density is 11.196 g/cm3. The calculation puts the total energy at -10.714 eV per atom.

The space group is Cmcm (No. 63) and the conventional cell measures 3.4258, 11.3203 and 10.5291 Å, with angles of 90.00, 90.00 and 90.00 degrees. The inequivalent atoms are Nd at (0.0000, 0.1067, 0.2500), Pu at (0.0000, 0.3677, 0.0691), N at (0.0000, 0.0000, 0.0000), N at (0.0000, 0.2712, 0.6041) and N at (0.0000, 0.4555, 0.2500).

No. 7
Tb2GdZn3AgAu2 | PBE | relaxed

The value obtained for the mass density is 10.191 g/cm3. The value obtained for the calculated formation energy is -0.5783 eV/atom.

The space group is Amm2 (No. 38) and the conventional cell measures 3.8463, 13.1272 and 7.5716 Å, with angles of 90.00, 90.00 and 90.00 degrees. The inequivalent atoms are Tb at (0.0000, 0.2030, 0.0000), Gd at (0.0000, 0.0000, 0.6091), Zn at (0.5000, 0.0000, 0.9446), Zn at (0.5000, 0.1295, 0.3321), Ag at (0.0000, 0.0000, 0.2023) and Au at (0.5000, 0.1672, 0.7033).

No. 8
HoCdNO | PBE | relaxed

The calculation puts the energy above the most stable polymorph in this dataset at 0.24 eV/f.u. The value obtained for the mass density is 7.480 g/cm3.

The space group is Pmc2_1 (No. 26) and the conventional cell measures 3.6838, 6.2638 and 5.9136 Å, with angles of 90.00, 90.00 and 90.00 degrees. The inequivalent atoms are Ho at (0.0000, 0.1719, 0.0000), Cd at (0.5000, 0.3488, 0.5055), N at (0.5000, 0.3213, 0.8752) and O at (0.0000, 0.1512, 0.3683).

No. 9
HfZrBiSb | PBE | relaxed

The value obtained for the mass density is 9.753 g/cm3. The calculation puts the total energy at -7.050 eV per atom.

The space group is P-6m2 (No. 187) and the conventional cell measures 4.1565, 4.1565 and 13.6654 Å, with angles of 90.00, 90.00 and 120.00 degrees. The inequivalent atoms are Hf at (0.0000, 0.0000, 0.1349), Zr at (0.3333, 0.6667, 0.3620), Bi at (0.0000, 0.0000, 0.5000), Bi at (0.3333, 0.6667, 0.0000) and Sb at (0.6667, 0.3333, 0.2466).

No. 10
HoLuZn2Sn2 | PBE | relaxed

The calculation puts the energy above the most stable polymorph in this dataset at 0.04 eV/f.u. The value obtained for the mass density is 8.665 g/cm3.

The space group is P6_3/mmc (No. 194) and the conventional cell measures 4.4831, 4.4831 and 15.5933 Å, with angles of 90.00, 90.00 and 120.00 degrees. The inequivalent atoms are Ho at (0.0000, 0.0000, 0.2500), Lu at (0.0000, 0.0000, 0.0000), Zn at (0.3333, 0.6667, 0.1605) and Sn at (0.3333, 0.6667, 0.6115).

No. 11
KPPdO | PBE | relaxed

The calculation puts the energy above the most stable polymorph in this dataset at 3.05 eV/f.u. The value obtained for the mass density is 4.572 g/cm3.

The space group is P4/nmm (No. 129, origin choice 2) and the conventional cell measures 4.3464, 4.3464 and 7.4017 Å, with angles of 90.00, 90.00 and 90.00 degrees. The inequivalent atoms are K at (0.2500, 0.7500, 0.0000), P at (0.2500, 0.2500, 0.3761), Pd at (0.2500, 0.2500, 0.6847) and O at (0.2500, 0.7500, 0.5000).

No. 12
YCoB2 | PBE | relaxed

The value obtained for the mass density is 5.814 g/cm3. The calculation puts the total energy at -5.844 eV per atom.

The space group is F-43m (No. 216) and the conventional cell measures 5.7851, 5.7851 and 5.7851 Å, with angles of 90.00, 90.00 and 90.00 degrees. The inequivalent atoms are Y at (0.0000, 0.0000, 0.0000), Co at (0.2500, 0.2500, 0.2500), B at (0.0000, 0.0000, 0.5000) and B at (0.2500, 0.2500, 0.7500).